An optimized crystal structure of CaNb2Sn2. Source: the Alexandria database, functional PBE.

Relative energy among the computed polymorphs: 0 meV/atom
Crystal system: tetragonal
E_tot: -6.225 eV/atom
Space group: No. 139

abc: 4.1589 4.1589 7.4148
angles: 73.71 73.71 90.00
Fractional positions:
1 Nb 0.7500 0.2500 0.5000
2 Nb 0.2500 0.7500 0.5000
3 Ca 0.0000 0.0000 0.0000
4 Sn 0.3952 0.3952 0.2096
5 Sn 0.6048 0.6048 0.7904